# 1
Below is a geometry-optimized Ba2UTl2O6 structure, with properties calculated at the PBE level.

a b c (Å): 6.6539 6.6539 6.6336
angles (deg): 98.58 98.58 118.33
Atoms (fractional coordinates):
Ba 0.1640 0.8360 0.0000
Ba 0.8360 0.1640 0.0000
U 0.5000 0.5000 0.0000
Tl 0.3470 0.6530 0.5000
Tl 0.6530 0.3470 0.5000
O 0.1814 0.4494 0.8377
O 0.3075 0.3075 0.2125
O 0.4494 0.1814 0.8377
O 0.5506 0.8186 0.1623
O 0.6925 0.6925 0.7875
O 0.8186 0.5506 0.1623

Computed properties:
Magnetization (μB per formula unit): 0.00

# 2
Below is a geometry-optimized Ba3U2TlO9 structure, with properties calculated at the PBE level.

a b c (Å): 6.3942 6.3942 7.8692
angles (deg): 90.00 90.00 120.00
Atoms (fractional coordinates):
Ba 0.0000 0.0000 0.0000
Ba 0.3333 0.6667 0.6346
Ba 0.6667 0.3333 0.3654
U 0.3333 0.6667 0.1534
U 0.6667 0.3333 0.8466
Tl 0.0000 0.0000 0.5000
O 0.0000 0.5000 0.0000
O 0.1845 0.3689 0.3072
O 0.1845 0.8155 0.3072
O 0.3689 0.1845 0.6928
O 0.5000 0.0000 0.0000
O 0.5000 0.5000 0.0000
O 0.6311 0.8155 0.3072
O 0.8155 0.1845 0.6928
O 0.8155 0.6311 0.6928

Computed properties:
Magnetization (μB per formula unit): 1.00

Record order is preserved below.
Energy: -75.4; -116.8 eV per formula unit